Computed, not measured: MnSe2BrO after structural relaxation at the GGA+U level of DFT.

Unit cell a=4.141 b=4.141 c=6.117 alpha=90.00 beta=90.00 gamma=90.00
Site moments in Bohr magnetons follow the coordinates.
Fractional positions:
Se: 0.500 0.000 0.000  -0.09
Se: 0.000 0.500 0.000  -0.09
Mn: 0.500 0.500 0.500  4.70
Br: 0.000 0.000 0.500  0.02
O: 0.000 0.000 0.000  -0.03

Results
Magnetization (μB per cell): 4.74
ρ (Mg/m³): 4.89
Final energy (eV per cell): -20.47
Space-group type: P4/mmm